8
Lattice="-2.2111 -3.0457 -1.6683 0.8288 -3.8545 5.9383 -5.3385 1.4061 4.5084" Properties=species:S:1:pos:R:3 comment="TbYHo2As4 | Alexandria | PBE | relaxed" dft_energy_ev_per_atom=-6.395 ef_mev_per_atom=-1539 pbc="T T T"
Tb -0.6912 -3.4501 2.1350
As -1.8143 -4.0709 4.7570
Ho -3.7748 -0.8198 1.4200
Y -2.2549 -1.2241 5.2233
As -4.9065 -1.4231 4.0214
As -3.3751 -1.8463 7.8436
As -3.3458 -3.6478 0.9348
Ho -5.3385 1.4061 4.5084


12
Lattice="7.1444 -0.0005 0.0014 -3.5709 6.1880 0.0014 -1.1910 -2.0621 6.7350" Properties=species:S:1:pos:R:3 comment="Tb2Y3HoAs6 | Alexandria | PBE | relaxed" dft_energy_ev_per_atom=-6.641 ef_mev_per_atom=-1547 pbc="T T T"
As 0.0101 4.1257 5.0558
As 3.5685 2.0706 5.0558
As -0.0046 -0.0080 5.0521
Y 4.7595 0.0019 3.3689
As 2.3725 -0.0003 1.6820
As -1.1860 2.0548 1.6820
Y 1.1913 2.0627 3.3689
Y -2.3770 4.1235 3.3689
As 2.3872 4.1334 1.6857
Tb 0.0024 4.1243 0.0014
Tb 3.5711 2.0632 0.0014
Ho 0.0000 0.0000 0.0000


8
Lattice="4.1229 0.0000 0.0000 0.0000 7.1364 -0.1412 0.0000 2.5111 6.6815" Properties=species:S:1:pos:R:3 comment="TbY2HoAs4 | Alexandria | PBE | relaxed" dft_energy_ev_per_atom=-6.638 ef_mev_per_atom=-1547 pbc="T T T"
As 0.0001 7.2314 4.9151
Y 0.0000 2.5111 6.6815
As 4.1229 2.4161 1.6252
Y 2.0615 1.2555 3.3407
As 2.0615 3.6712 4.9826
As 2.0615 5.9764 1.5578
Ho 2.0615 3.5682 -0.0706
Tb 0.0000 4.8237 3.2702


8
Lattice="-3.2442 -1.9000 -1.4771 -2.1711 -1.3583 6.5156 -2.6431 6.1347 -2.0859" Properties=species:S:1:pos:R:3 comment="TbHo2ZrAs4 | Alexandria | PBE | relaxed" dft_energy_ev_per_atom=-6.543 ef_mev_per_atom=-1426 pbc="T T T"
As -2.5191 4.2892 0.0157
Tb -2.7076 -1.6291 2.5193
As -2.7835 0.2084 0.3224
Ho -2.9436 2.1174 -1.7815
As -2.2950 0.4873 4.4139
Zr 0.0000 0.0000 0.0000
Ho -2.4071 2.3882 2.2148
As -5.2748 2.6681 2.6302


8
Lattice="4.0485 0.0000 0.0000 0.0000 7.0135 0.1309 0.0000 -2.4425 6.5783" Properties=species:S:1:pos:R:3 comment="Tb2HoZrAs4 | Alexandria | PBE | relaxed" dft_energy_ev_per_atom=-6.557 ef_mev_per_atom=-1433 pbc="T T T"
As 0.0000 -0.1244 5.0146
As 0.0000 4.6954 1.6946
Tb 0.0000 2.2855 3.3546
Tb 2.0242 -1.2213 3.2892
As 2.0242 3.4683 5.1078
Ho 2.0242 3.5068 0.0654
Zr 0.0000 0.0000 0.0000
As 2.0242 1.1027 1.6014


4
Lattice="-0.6052 2.3502 -1.8584 -0.0939 -0.4284 -3.0251 -9.7389 -1.3508 -1.0508" Properties=species:S:1:pos:R:3 comment="HoTcAs2 | Alexandria | PBE | relaxed" polymorph_energy_mev_per_atom=725 dft_energy_ev_per_atom=-5.820 ef_mev_per_atom=241 pbc="T T T"
Ho -5.2190 0.2855 -2.9671
As -3.0833 1.4224 -4.7387
As -7.3547 -0.8514 -1.1955
Tc 0.0000 0.0000 0.0000


4
Lattice="-0.0559 4.4261 1.4450 -4.0466 2.0648 1.0212 -1.0564 0.9912 4.4252" Properties=species:S:1:pos:R:3 comment="HoTcAs2 | Alexandria | PBE | relaxed" polymorph_energy_mev_per_atom=0 dft_energy_ev_per_atom=-6.545 ef_mev_per_atom=-484 pbc="T T T"
As -1.2897 1.8705 1.7228
As -3.8692 5.6115 5.1685
Ho 0.0000 0.0000 0.0000
Tc -2.5795 3.7410 3.4457


4
Lattice="3.6650 0.0000 0.0000 0.0000 4.7616 0.0000 0.0000 0.0000 4.7616" Properties=species:S:1:pos:R:3 comment="Ho2TcAs | Alexandria | PBE | relaxed" dft_energy_ev_per_atom=-6.526 ef_mev_per_atom=-483 pbc="T T T"
Tc 1.8325 2.3808 2.3808
As 1.8325 0.0000 0.0000
Ho 0.0000 2.3808 0.0000
Ho 0.0000 0.0000 2.3808


8
Lattice="4.2412 0.0000 0.0000 0.0000 7.4558 -0.0399 0.0000 -2.3885 7.0630" Properties=species:S:1:pos:R:3 comment="Ho4Te3As | Alexandria | PBE | relaxed" formation_energy_uncorrected_ev_per_atom=-1.368 dft_energy_ev_per_atom=-5.416 pbc="T T T"
Ho 2.1206 -0.1044 5.4149
Te 2.1206 2.5336 3.5115
Ho 2.1206 5.1716 1.6082
Te 0.0000 3.7279 -0.0199
As 2.1206 0.0000 0.0000
Ho 0.0000 1.1204 1.5528
Te 0.0000 -1.1942 3.5315
Ho 0.0000 3.9469 5.4702


4
Lattice="-3.7626 0.1158 1.4607 -2.2088 -3.3764 0.1591 1.2944 -2.8307 9.1396" Properties=species:S:1:pos:R:3 comment="HoTe2As | Alexandria | PBE | relaxed" formation_energy_uncorrected_ev_per_atom=-0.040 dft_energy_ev_per_atom=-3.918 pbc="T T T"
Ho 0.0000 0.0000 0.0000
Te -4.9214 -3.8180 4.3687
As -2.3385 -3.0456 5.3797
Te 0.2443 -2.2732 6.3906


18
Lattice="-7.2360 0.4157 -2.8935 3.0847 -0.8650 -7.8387 -2.3817 -6.3743 5.0404" Properties=species:S:1:pos:R:3 comment="Ho5Te2As2 | Alexandria | PBE | relaxed" formation_energy_uncorrected_ev_per_atom=-1.183 dft_energy_ev_per_atom=-5.458 pbc="T T T"
Ho -4.9421 -3.7046 -5.9035
Ho -1.1924 -5.2679 -4.9807
As -5.9449 -2.1984 -3.4637
Ho -1.5909 -3.1190 0.2117
As -0.5881 -4.6252 -2.2281
Ho -3.2665 -3.4118 -2.8459
Ho -0.2077 -1.7250 -3.0472
Ho -5.3406 -1.5557 -0.7111
Ho 0.0000 0.0000 0.0000
As -4.0615 -5.9061 -4.2503
Te -4.3712 -4.5251 -0.2433
Te 1.9801 -1.9784 -5.2361
Te -2.1618 -2.2985 -5.4485
Te -1.2770 -5.2610 2.4378
As -2.4715 -0.9175 -1.4415
Ho -2.5756 -6.6619 -1.7218
Ho -3.9574 -0.1617 -3.9700
Ho -6.3253 -5.0986 -2.6446


10
Lattice="-1.5467 -3.7402 1.2182 3.8492 -1.1695 1.2966 -4.1591 8.3350 12.9764" Properties=species:S:1:pos:R:3 comment="Ho5Te4As | Alexandria | PBE | relaxed" formation_energy_uncorrected_ev_per_atom=-1.336 dft_energy_ev_per_atom=-5.346 pbc="T T T"
Ho -1.3328 2.4012 13.0122
Te -1.1460 2.2403 5.4231
Te 0.5337 -1.2476 4.1798
Ho -0.1222 0.0345 7.2833
Te -0.7106 1.1849 10.0681
Ho 1.1512 -2.4548 1.2574
Ho -0.5239 1.0241 2.4789
As 0.0000 0.0000 0.0000
Te -2.3903 4.6728 11.3114
Ho -1.7345 3.3907 8.2079


no.,total magnetic moment (μB/f.u.)
1,0.00
2,0.00
3,0.00
4,0.00
5,0.00
6,0.00
7,0.00
8,0.00
9,0.00
10,0.00
11,0.00
12,0.00